one:
Here is a crystal of K2TlCo relaxed with PBEsol from the Alexandria database. Energies are from SCAN.

Summary:
The total magnetization is 1.979 μB per formula unit. Its space-group type is No. 216. The volume is 107.3 Å³/cell.

a = 5.334 Å, b = 5.334 Å, c = 5.334 Å
α = 60.00°, β = 60.00°, γ = 60.00°
Element x y z (fractional)
Co 0.500 0.500 0.500
K 0.000 0.000 0.000
K 0.750 0.750 0.750
Tl 0.250 0.250 0.250

=====

two:
Here is a crystal of K2TlCo relaxed with PBEsol from the Alexandria database. Energies are from SCAN.

Summary:
The total magnetization is 1.733 μB per formula unit. Its space-group type is No. 71. The volume is 132.1 Å³/cell.

a = 3.349 Å, b = 4.013 Å, c = 10.170 Å
α = 101.37°, β = 99.48°, γ = 90.00°
Element x y z (fractional)
Co 0.500 0.000 0.000
K 0.853 0.853 0.706
K 0.147 0.147 0.294
Tl 0.000 0.500 0.000

=====

three:
Here is a crystal of K2TlCo relaxed with PBEsol from the Alexandria database. Energies are from SCAN.

Summary:
The total magnetization is 1.672 μB per formula unit. Its space-group type is No. 65. The volume is 116.8 Å³/cell.

a = 4.187 Å, b = 5.648 Å, c = 5.648 Å
α = 118.96°, β = 89.97°, γ = 89.97°
Element x y z (fractional)
Co 0.500 0.000 0.000
K 0.000 0.000 0.500
K 0.000 0.500 0.000
Tl 0.500 0.500 0.500

=====

Short version: two is the most stable of them.

=====

one:
Here is a crystal of KCoW relaxed with PBEsol from the Alexandria database. Energies are from SCAN.

Summary:
The total magnetization is 0.000 μB per formula unit. Its space-group type is No. 216. The volume is 55.3 Å³/cell.

a = 4.276 Å, b = 4.276 Å, c = 4.276 Å
α = 60.00°, β = 60.00°, γ = 60.00°
Element x y z (fractional)
Co 0.000 0.000 0.000
K 0.500 0.500 0.500
W 0.250 0.250 0.250

=====

two:
Here is a crystal of KCoW relaxed with PBEsol from the Alexandria database. Energies are from SCAN.

Summary:
The total magnetization is 1.168 μB per formula unit. Its space-group type is No. 156. The volume is 51.8 Å³/cell.

a = 2.568 Å, b = 4.825 Å, c = 4.825 Å
α = 120.00°, β = 90.00°, γ = 90.00°
Element x y z (fractional)
Co 0.032 0.000 0.000
K 0.659 0.333 0.667
W 0.309 0.667 0.333

=====

Short version: two is the most stable of them.

=====

one:
Here is a crystal of KCoW2 relaxed with PBEsol from the Alexandria database. Energies are from SCAN.

Summary:
The total magnetization is 1.189 μB per formula unit. Its space-group type is No. 6. The volume is 79.1 Å³/cell.

a = 2.725 Å, b = 3.474 Å, c = 8.356 Å
α = 90.00°, β = 90.75°, γ = 90.00°
Element x y z (fractional)
Co 0.994 0.000 0.409
K 0.512 0.500 0.722
W 0.011 0.000 0.086
W 0.482 0.500 0.282

=====

two:
Here is a crystal of KCoW2 relaxed with PBEsol from the Alexandria database. Energies are from SCAN.

Summary:
The total magnetization is 0.731 μB per formula unit. Its space-group type is No. 47. The volume is 67.6 Å³/cell.

a = 2.806 Å, b = 4.654 Å, c = 5.177 Å
α = 90.00°, β = 90.00°, γ = 90.00°
Element x y z (fractional)
Co 0.500 0.000 0.500
K 0.000 0.500 0.500
W 0.000 0.000 0.000
W 0.500 0.500 0.000

=====

Short version: one is the most stable of them.

=====

one:
Here is a crystal of KCoW2 relaxed with PBEsol from the Alexandria database. Energies are from SCAN.

Summary:
The total magnetization is 2.589 μB per formula unit. Its space-group type is No. 123. The volume is 82.2 Å³/cell.

a = 3.175 Å, b = 3.175 Å, c = 8.154 Å
α = 90.00°, β = 90.00°, γ = 90.00°
Element x y z (fractional)
Co 0.500 0.500 0.000
K 0.500 0.500 0.500
W 0.000 0.000 0.859
W 0.000 0.000 0.141

=====

two:
Here is a crystal of KCoW2 relaxed with PBEsol from the Alexandria database. Energies are from SCAN.

Summary:
The total magnetization is 1.328 μB per formula unit. Its space-group type is No. 12. The volume is 67.6 Å³/cell.

a = 2.600 Å, b = 5.116 Å, c = 5.801 Å
α = 114.03°, β = 99.07°, γ = 98.67°
Element x y z (fractional)
Co 0.500 0.000 0.000
K 0.000 0.500 0.000
W 0.000 0.000 0.500
W 0.500 0.500 0.500

=====

Short version: one is the most stable of them.

=====

one:
Here is a crystal of KYCo2 relaxed with PBEsol from the Alexandria database. Energies are from SCAN.

Summary:
The total magnetization is 2.443 μB per formula unit. Its space-group type is No. 225. The volume is 79.0 Å³/cell.

a = 4.814 Å, b = 4.817 Å, c = 4.817 Å
α = 60.01°, β = 60.02°, γ = 60.02°
Element x y z (fractional)
Co 0.251 0.749 0.749
Co 0.749 0.251 0.251
K 0.500 0.000 0.000
Y 0.000 0.500 0.500

=====

two:
Here is a crystal of KYCo2 relaxed with PBEsol from the Alexandria database. Energies are from SCAN.

Summary:
The total magnetization is 3.294 μB per formula unit. Its space-group type is No. 123. The volume is 99.0 Å³/cell.

a = 3.660 Å, b = 3.656 Å, c = 7.396 Å
α = 90.00°, β = 90.00°, γ = 90.00°
Element x y z (fractional)
Co 0.000 0.000 0.646
Co 0.000 0.000 0.354
K 0.500 0.500 0.000
Y 0.500 0.500 0.500

=====

Short version: two is the most stable of them.

=====

one:
Here is a crystal of K2YCo relaxed with PBEsol from the Alexandria database. Energies are from SCAN.

Summary:
The total magnetization is 2.209 μB per formula unit. Its space-group type is No. 123. The volume is 126.3 Å³/cell.

a = 3.240 Å, b = 3.240 Å, c = 12.028 Å
α = 90.00°, β = 90.00°, γ = 90.00°
Element x y z (fractional)
Co 0.500 0.500 0.500
K 0.000 0.000 0.700
K 0.000 0.000 0.300
Y 0.500 0.500 0.000

=====

two:
Here is a crystal of K2YCo relaxed with PBEsol from the Alexandria database. Energies are from SCAN.

Summary:
The total magnetization is 1.319 μB per formula unit. Its space-group type is No. 123. The volume is 130.8 Å³/cell.

a = 4.699 Å, b = 4.699 Å, c = 5.925 Å
α = 90.00°, β = 90.00°, γ = 90.00°
Element x y z (fractional)
Co 0.500 0.500 0.500
K 0.000 0.000 0.731
K 0.000 0.000 0.269
Y 0.500 0.500 0.000

=====

Short version: two is the most stable of them.

=====

one:
Here is a crystal of La2MnCo relaxed with PBEsol from the Alexandria database. Energies are from SCAN.

Summary:
The total magnetization is 4.558 μB per formula unit. Its space-group type is No. 10. The volume is 87.4 Å³/cell.

a = 3.499 Å, b = 3.500 Å, c = 7.136 Å
α = 90.82°, β = 90.00°, γ = 90.00°
Element x y z (fractional)
Co 0.500 0.500 0.000
La 0.000 0.005 0.773
La 0.000 0.995 0.227
Mn 0.500 0.500 0.500

=====

two:
Here is a crystal of La2MnCo relaxed with PBEsol from the Alexandria database. Energies are from SCAN.

Summary:
The total magnetization is 5.087 μB per formula unit. Its space-group type is No. 216. The volume is 79.5 Å³/cell.

a = 4.827 Å, b = 4.827 Å, c = 4.827 Å
α = 60.00°, β = 60.00°, γ = 60.00°
Element x y z (fractional)
Co 0.500 0.500 0.500
La 0.000 0.000 0.000
La 0.250 0.250 0.250
Mn 0.750 0.750 0.750

=====

three:
Here is a crystal of La2MnCo relaxed with PBEsol from the Alexandria database. Energies are from SCAN.

Summary:
The total magnetization is 3.825 μB per formula unit. Its space-group type is No. 166. The volume is 94.4 Å³/cell.

a = 3.706 Å, b = 3.706 Å, c = 8.222 Å
α = 76.97°, β = 76.97°, γ = 60.00°
Element x y z (fractional)
Co 0.000 0.000 0.000
La 0.263 0.263 0.211
La 0.737 0.737 0.789
Mn 0.500 0.500 0.500

=====

Short version: one is the most stable of them.

=====

one:
Here is a crystal of La2CoMo relaxed with PBEsol from the Alexandria database. Energies are from SCAN.

Summary:
The total magnetization is 0.000 μB per formula unit. Its space-group type is No. 44. The volume is 90.7 Å³/cell.

a = 3.457 Å, b = 4.850 Å, c = 6.178 Å
α = 113.11°, β = 106.24°, γ = 90.00°
Element x y z (fractional)
Mo 0.561 0.561 0.122
Co 0.194 0.694 0.388
La 0.975 0.975 0.949
La 0.770 0.270 0.541

=====

two:
Here is a crystal of La2CoMo relaxed with PBEsol from the Alexandria database. Energies are from SCAN.

Summary:
The total magnetization is 2.749 μB per formula unit. Its space-group type is No. 47. The volume is 84.9 Å³/cell.

a = 3.241 Å, b = 3.703 Å, c = 7.071 Å
α = 90.00°, β = 90.00°, γ = 90.00°
Element x y z (fractional)
Mo 0.500 0.500 0.000
Co 0.500 0.500 0.500
La 0.000 0.000 0.732
La 0.000 0.000 0.268

=====

Short version: one is the most stable of them.

=====

one:
Here is a crystal of La2CoNi relaxed with PBEsol from the Alexandria database. Energies are from SCAN.

Summary:
The total magnetization is 1.337 μB per formula unit. Its space-group type is No. 99. The volume is 87.4 Å³/cell.

a = 3.383 Å, b = 3.383 Å, c = 7.634 Å
α = 90.00°, β = 90.00°, γ = 90.00°
Element x y z (fractional)
Ni 0.000 0.000 0.568
Co 0.500 0.500 0.671
La 0.000 0.000 0.911
La 0.500 0.500 0.350

=====

two:
Here is a crystal of La2CoNi relaxed with PBEsol from the Alexandria database. Energies are from SCAN.

Summary:
The total magnetization is 0.095 μB per formula unit. Its space-group type is No. 160. The volume is 97.2 Å³/cell.

a = 3.961 Å, b = 3.961 Å, c = 7.512 Å
α = 74.71°, β = 74.71°, γ = 60.00°
Element x y z (fractional)
Ni 0.541 0.541 0.376
Co 0.209 0.209 0.374
La 0.962 0.962 0.114
La 0.788 0.788 0.636

=====

Short version: two is the most stable of them.

=====

one:
Here is a crystal of LaCoOs2 relaxed with PBEsol from the Alexandria database. Energies are from SCAN.

Summary:
The total magnetization is 2.016 μB per formula unit. Its space-group type is No. 44. The volume is 67.1 Å³/cell.

a = 2.888 Å, b = 4.876 Å, c = 5.544 Å
α = 116.09°, β = 105.10°, γ = 90.00°
Element x y z (fractional)
Co 0.472 0.472 0.944
Os 0.028 0.028 0.056
Os 0.755 0.255 0.511
La 0.245 0.745 0.490

=====

two:
Here is a crystal of LaCoOs2 relaxed with PBEsol from the Alexandria database. Energies are from SCAN.

Summary:
The total magnetization is 2.292 μB per formula unit. Its space-group type is No. 10. The volume is 67.4 Å³/cell.

a = 2.845 Å, b = 4.340 Å, c = 5.575 Å
α = 90.00°, β = 101.58°, γ = 90.00°
Element x y z (fractional)
Co 0.500 0.500 0.000
Os 0.680 0.000 0.805
Os 0.320 0.000 0.195
La 0.000 0.500 0.500

=====

Short version: two is the most stable of them.

=====

one:
Here is a crystal of LaCo2Re relaxed with PBEsol from the Alexandria database. Energies are from SCAN.

Summary:
The total magnetization is 0.008 μB per formula unit. Its space-group type is No. 123. The volume is 60.1 Å³/cell.

a = 2.782 Å, b = 4.647 Å, c = 4.647 Å
α = 90.00°, β = 90.00°, γ = 90.00°
Element x y z (fractional)
Re 0.500 0.000 0.000
Co 0.000 0.000 0.500
Co 0.000 0.500 0.000
La 0.500 0.500 0.500

=====

two:
Here is a crystal of LaCo2Re relaxed with PBEsol from the Alexandria database. Energies are from SCAN.

Summary:
The total magnetization is 2.569 μB per formula unit. Its space-group type is No. 123. The volume is 62.9 Å³/cell.

a = 2.960 Å, b = 2.960 Å, c = 7.177 Å
α = 90.00°, β = 90.00°, γ = 90.00°
Element x y z (fractional)
Re 0.500 0.500 0.500
Co 0.000 0.000 0.688
Co 0.000 0.000 0.312
La 0.500 0.500 0.000

=====

Short version: two is the most stable of them.

=====

one:
Here is a crystal of LaCoSb2 relaxed with PBEsol from the Alexandria database. Energies are from SCAN.

Summary:
The total magnetization is 2.258 μB per formula unit. Its space-group type is No. 139. The volume is 94.5 Å³/cell.

a = 4.402 Å, b = 4.402 Å, c = 5.784 Å
α = 112.36°, β = 112.36°, γ = 90.00°
Element x y z (fractional)
Co 0.500 0.500 0.000
La 0.000 0.000 0.000
Sb 0.750 0.250 0.500
Sb 0.250 0.750 0.500

=====

two:
Here is a crystal of LaCoSb2 relaxed with PBEsol from the Alexandria database. Energies are from SCAN.

Summary:
The total magnetization is 0.000 μB per formula unit. Its space-group type is No. 44. The volume is 92.8 Å³/cell.

a = 3.313 Å, b = 3.991 Å, c = 7.482 Å
α = 105.47°, β = 102.79°, γ = 90.00°
Element x y z (fractional)
Co 0.538 0.538 0.075
La 0.806 0.306 0.613
Sb 0.983 0.983 0.966
Sb 0.173 0.673 0.346

=====

three:
Here is a crystal of LaCoSb2 relaxed with PBEsol from the Alexandria database. Energies are from SCAN.

Summary:
The total magnetization is 1.761 μB per formula unit. Its space-group type is No. 216. The volume is 93.3 Å³/cell.

a = 5.092 Å, b = 5.092 Å, c = 5.092 Å
α = 60.00°, β = 60.00°, γ = 60.00°
Element x y z (fractional)
Co 0.500 0.500 0.500
La 0.250 0.250 0.250
Sb 0.000 0.000 0.000
Sb 0.750 0.750 0.750

=====

four:
Here is a crystal of LaCoSb2 relaxed with PBEsol from the Alexandria database. Energies are from SCAN.

Summary:
The total magnetization is 1.243 μB per formula unit. Its space-group type is No. 129. The volume is 187.3 Å³/cell.

a = 4.345 Å, b = 4.345 Å, c = 9.923 Å
α = 90.00°, β = 90.00°, γ = 90.00°
Element x y z (fractional)
Sb 0.500 0.500 0.000
Sb 0.000 0.000 0.000
Sb 0.000 0.500 0.371
Sb 0.500 0.000 0.629
Co 0.500 0.500 0.500
Co 0.000 0.000 0.500
La 0.000 0.500 0.741
La 0.500 0.000 0.259

=====

Short version: four is the most stable of them.

=====

one:
Here is a crystal of LaSc2Co relaxed with PBEsol from the Alexandria database. Energies are from SCAN.

Summary:
The total magnetization is 0.001 μB per formula unit. Its space-group type is No. 166. The volume is 93.0 Å³/cell.

a = 3.336 Å, b = 3.336 Å, c = 9.843 Å
α = 80.24°, β = 80.24°, γ = 60.00°
Element x y z (fractional)
Sc 0.886 0.886 0.341
Sc 0.114 0.114 0.659
Co 0.500 0.500 0.500
La 0.000 0.000 0.000

=====

two:
Here is a crystal of LaSc2Co relaxed with PBEsol from the Alexandria database. Energies are from SCAN.

Summary:
The total magnetization is 0.312 μB per formula unit. Its space-group type is No. 47. The volume is 83.3 Å³/cell.

a = 3.775 Å, b = 4.495 Å, c = 4.908 Å
α = 90.00°, β = 90.00°, γ = 90.00°
Element x y z (fractional)
Co 0.500 0.000 0.500
La 0.000 0.500 0.500
Sc 0.000 0.000 0.000
Sc 0.500 0.500 0.000

=====

Short version: one is the most stable of them.